Record 1
H2PtCl5, relaxed, DFT PBE; electronic total energy = -24.91 eV per cell; ρ = 2.314 g/cm³; M_tot = 1.06 μB/cell
1.0
6.168 0.000 0.000
2.564 6.226 0.000
1.518 1.278 6.994
H Pt Cl
2 1 5
Direct
0.000 0.000 0.000
0.003 0.729 0.381
0.490 0.979 0.011
0.097 0.173 0.954
0.134 0.715 0.505
0.466 0.233 0.173
0.513 0.725 0.850
0.881 0.793 0.060

Record 2
ZrMnCdMo2, relaxed, DFT PBE; calculated formation energy = 8.5 eV/f.u.; ρ = 6.619 g/cm³; M_tot = 2.20 μB/cell
1.0
4.828 0.000 0.000
0.000 4.828 0.000
0.000 0.000 4.848
Zr Mn Cd Mo
1 1 1 2
Direct
0.000 0.000 0.000
0.000 0.000 0.500
0.500 0.500 0.500
0.000 0.500 0.000
0.500 0.000 0.000

Record 3
Tb6NdDy2Y2, relaxed, DFT PBE; calculated formation energy = 1.8 eV/f.u.; ρ = 7.299 g/cm³; M_tot = 0.00 μB/cell
1.0
2.841 -6.015 0.000
2.841 6.015 0.000
-0.014 0.000 10.655
Tb Nd Dy Y
6 1 2 2
Direct
0.001 0.001 0.288
0.346 0.652 0.792
0.348 0.654 0.208
0.652 0.346 0.792
0.654 0.348 0.208
0.999 0.999 0.712
0.500 0.500 0.500
0.201 0.799 0.500
0.799 0.201 0.500
0.137 0.863 0.000
0.863 0.137 0.000

Record 4
CdSb3Pt, relaxed, DFT PBE; E above lowest polymorph = 0.0000 eV per atom; formation energy from raw total energies = 179.2 kJ/mol of formula units; ρ = 7.445 g/cm³; M_tot = 0.00 μB/cell
1.0
5.314 0.000 0.000
0.000 5.314 0.000
0.000 0.000 5.314
Cd Sb Pt
1 3 1
Direct
0.000 0.000 0.000
0.000 0.500 0.500
0.500 0.000 0.500
0.500 0.500 0.000
0.500 0.500 0.500

Record 5
LiDyTmNi, relaxed, DFT PBE; calculated formation energy = -0.6 eV/f.u.; ρ = 8.001 g/cm³; M_tot = 0.00 μB/cell
1.0
6.908 0.000 0.000
0.000 6.908 0.000
0.000 0.000 6.908
Li Dy Tm Ni
4 4 4 4
Direct
0.000 0.000 0.000
0.000 0.500 0.500
0.500 0.000 0.500
0.500 0.500 0.000
0.250 0.250 0.750
0.250 0.750 0.250
0.750 0.250 0.250
0.750 0.750 0.750
0.250 0.250 0.250
0.250 0.750 0.750
0.750 0.250 0.750
0.750 0.750 0.250
0.000 0.000 0.500
0.000 0.500 0.000
0.500 0.000 0.000
0.500 0.500 0.500

Record 6
Y2MgAl, relaxed, DFT PBE; E above lowest polymorph = 0.0979 eV per atom; calculated formation energy = -0.8 eV/f.u.; ρ = 3.629 g/cm³; M_tot = 0.01 μB/cell
1.0
3.632 0.000 0.000
0.000 4.776 0.000
-1.800 0.000 6.043
Y Mg Al
2 1 1
Direct
0.000 0.000 0.000
0.324 0.500 0.651
0.724 0.000 0.452
0.591 0.500 0.182

Record 7
PmNd2Dy3Bi6, relaxed, DFT PBE; calculated formation energy = -10.8 eV/f.u.; ρ = 9.109 g/cm³; M_tot = 0.00 μB/cell
1.0
9.885 -2.270 0.000
9.885 2.270 0.000
-2.064 0.000 8.835
Pm Nd Dy Bi
1 2 3 6
Direct
0.000 0.000 0.000
0.334 0.334 0.667
0.666 0.666 0.333
0.000 0.000 0.500
0.333 0.333 0.167
0.667 0.667 0.833
0.165 0.165 0.588
0.168 0.168 0.078
0.498 0.498 0.254
0.502 0.502 0.746
0.832 0.832 0.922
0.835 0.835 0.412

Record 8
LaCr2Sn2, relaxed, DFT PBE; calculated formation energy = -0.3 eV/f.u.; ρ = 6.696 g/cm³; M_tot = 13.50 μB/cell
1.0
4.441 0.000 0.000
0.000 4.441 0.000
0.000 0.000 12.076
La Cr Sn
2 4 4
Direct
0.000 0.000 0.000
0.500 0.500 0.500
0.000 0.500 0.250
0.000 0.500 0.750
0.500 0.000 0.250
0.500 0.000 0.750
0.000 0.000 0.379
0.000 0.000 0.621
0.500 0.500 0.121
0.500 0.500 0.879

ρ of number 2 (ZrMnCdMo2)? 6.619 g/cm³